1.
# GGA-PBE LaSi2Sb, relaxed
# - ΔE_f (raw) (eV per atom) = -0.264
data_LaSi2Sb
_cell_length_a 4.570
_cell_length_b 4.570
_cell_length_c 4.327
_cell_angle_alpha 90.00
_cell_angle_beta 90.00
_cell_angle_gamma 90.00
_space_group_name_H-M_alt 'P 4/m m m'
_space_group_IT_number 123
_space_group_name_Hall '-P 4 2'
loop_
_atom_site_label
_atom_site_type_symbol
_atom_site_fract_x
_atom_site_fract_y
_atom_site_fract_z
La1 La 0.000 0.000 0.000
Si1 Si 0.000 0.500 0.500
Sb1 Sb 0.500 0.500 0.000


2.
# GGA-PBE La2SiSb, relaxed
# - ΔE_f (raw) (eV per atom) = -0.817
# - polymorph energy (0 for the lowest one) (meV/atom) = 29
data_La2SiSb
_cell_length_a 7.732
_cell_length_b 4.449
_cell_length_c 7.923
_cell_angle_alpha 90.00
_cell_angle_beta 108.82
_cell_angle_gamma 90.00
_space_group_name_H-M_alt 'C 1 2/m 1'
_space_group_IT_number 12
_space_group_name_Hall '-C 2y'
loop_
_atom_site_label
_atom_site_type_symbol
_atom_site_fract_x
_atom_site_fract_y
_atom_site_fract_z
La1 La 0.245 0.000 0.236
Si1 Si 0.000 0.500 0.000
Sb1 Sb 0.000 0.000 0.500


3.
# GGA-PBE La8SiSb5, relaxed
# - ΔE_f (raw) (eV per atom) = -1.060
data_La8SiSb5
_cell_length_a 9.614
_cell_length_b 9.614
_cell_length_c 9.690
_cell_angle_alpha 90.00
_cell_angle_beta 90.00
_cell_angle_gamma 90.00
_space_group_name_H-M_alt 'I -4'
_space_group_IT_number 82
_space_group_name_Hall 'I -4'
loop_
_atom_site_label
_atom_site_type_symbol
_atom_site_fract_x
_atom_site_fract_y
_atom_site_fract_z
La1 La 0.070 0.324 0.049
La2 La 0.071 0.193 0.698
Si1 Si 0.000 0.500 0.750
Sb1 Sb 0.000 0.000 0.000
Sb2 Sb 0.121 0.248 0.373


4.
# GGA-PBE LaSi2Sb, relaxed
# - ΔE_f (raw) (eV per atom) = -0.225
data_LaSi2Sb
_cell_length_a 4.213
_cell_length_b 4.463
_cell_length_c 5.568
_cell_angle_alpha 90.00
_cell_angle_beta 90.26
_cell_angle_gamma 90.00
_space_group_name_H-M_alt 'P 1 2/m 1'
_space_group_IT_number 10
_space_group_name_Hall '-P 2y'
loop_
_atom_site_label
_atom_site_type_symbol
_atom_site_fract_x
_atom_site_fract_y
_atom_site_fract_z
La1 La 0.000 0.000 0.000
Si1 Si 0.496 0.500 0.797
Sb1 Sb 0.500 0.000 0.500


5.
# GGA-PBE LaSi2Sb, relaxed
# - ΔE_f (raw) (eV per atom) = -0.180
data_LaSi2Sb
_cell_length_a 4.265
_cell_length_b 4.265
_cell_length_c 10.180
_cell_angle_alpha 90.00
_cell_angle_beta 90.00
_cell_angle_gamma 90.00
_space_group_name_H-M_alt 'I -4 m 2'
_space_group_IT_number 119
_space_group_name_Hall 'I -4 -2'
loop_
_atom_site_label
_atom_site_type_symbol
_atom_site_fract_x
_atom_site_fract_y
_atom_site_fract_z
La1 La 0.000 0.000 0.000
Si1 Si 0.000 0.000 0.500
Si2 Si 0.000 0.500 0.250
Sb1 Sb 0.000 0.500 0.750


6.
# GGA-PBE LaSi2Sb, relaxed
# - ΔE_f (raw) (eV per atom) = -0.159
data_LaSi2Sb
_cell_length_a 3.844
_cell_length_b 3.844
_cell_length_c 6.279
_cell_angle_alpha 90.00
_cell_angle_beta 90.00
_cell_angle_gamma 90.00
_space_group_name_H-M_alt 'P 4 m m'
_space_group_IT_number 99
_space_group_name_Hall 'P 4 -2'
loop_
_atom_site_label
_atom_site_type_symbol
_atom_site_fract_x
_atom_site_fract_y
_atom_site_fract_z
La1 La 0.000 0.000 0.000
Si1 Si 0.000 0.000 0.522
Si2 Si 0.500 0.500 0.714
Sb1 Sb 0.500 0.500 0.302


7.
# GGA-PBE La2SiSb, relaxed
# - ΔE_f (raw) (eV per atom) = -0.846
# - polymorph energy (0 for the lowest one) (meV/atom) = 0
data_La2SiSb
_cell_length_a 11.634
_cell_length_b 4.496
_cell_length_c 4.507
_cell_angle_alpha 90.00
_cell_angle_beta 95.15
_cell_angle_gamma 90.00
_space_group_name_H-M_alt 'C 1 m 1'
_space_group_IT_number 8
_space_group_name_Hall 'C -2y'
loop_
_atom_site_label
_atom_site_type_symbol
_atom_site_fract_x
_atom_site_fract_y
_atom_site_fract_z
La1 La 0.000 0.000 0.000
La2 La 0.231 0.500 0.521
Si1 Si 0.264 0.000 0.041
Sb1 Sb 0.449 0.000 0.481


8.
# GGA-PBE LaSi2Sb, relaxed
# - ΔE_f (raw) (eV per atom) = -0.166
data_LaSi2Sb
_cell_length_a 5.326
_cell_length_b 5.535
_cell_length_c 6.325
_cell_angle_alpha 90.00
_cell_angle_beta 90.00
_cell_angle_gamma 90.00
_space_group_name_H-M_alt 'C m m m'
_space_group_IT_number 65
_space_group_name_Hall '-C 2 2'
loop_
_atom_site_label
_atom_site_type_symbol
_atom_site_fract_x
_atom_site_fract_y
_atom_site_fract_z
La1 La 0.000 0.000 0.000
Si1 Si 0.000 0.500 0.306
Sb1 Sb 0.000 0.000 0.500


9.
# GGA-PBE La2SiSb, relaxed
# - ΔE_f (raw) (eV per atom) = -0.276
# - polymorph energy (0 for the lowest one) (meV/atom) = 570
data_La2SiSb
_cell_length_a 5.105
_cell_length_b 5.325
_cell_length_c 8.681
_cell_angle_alpha 90.00
_cell_angle_beta 90.00
_cell_angle_gamma 90.00
_space_group_name_H-M_alt 'C m m 2'
_space_group_IT_number 35
_space_group_name_Hall 'C 2 -2'
loop_
_atom_site_label
_atom_site_type_symbol
_atom_site_fract_x
_atom_site_fract_y
_atom_site_fract_z
La1 La 0.000 0.000 0.000
La2 La 0.000 0.500 0.395
Si1 Si 0.000 0.500 0.779
Sb1 Sb 0.000 0.000 0.631


10.
# GGA-PBE La2SiSb, relaxed
# - ΔE_f (raw) (eV per atom) = -0.643
# - polymorph energy (0 for the lowest one) (meV/atom) = 203
data_La2SiSb
_cell_length_a 7.707
_cell_length_b 7.707
_cell_length_c 7.707
_cell_angle_alpha 90.00
_cell_angle_beta 90.00
_cell_angle_gamma 90.00
_space_group_name_H-M_alt 'F m -3 m'
_space_group_IT_number 225
_space_group_name_Hall '-F 4 2 3'
loop_
_atom_site_label
_atom_site_type_symbol
_atom_site_fract_x
_atom_site_fract_y
_atom_site_fract_z
La1 La 0.250 0.250 0.250
Si1 Si 0.000 0.000 0.000
Sb1 Sb 0.000 0.000 0.500


11.
# GGA-PBE La2SiSb, relaxed
# - ΔE_f (raw) (eV per atom) = -0.798
# - polymorph energy (0 for the lowest one) (meV/atom) = 48
data_La2SiSb
_cell_length_a 4.513
_cell_length_b 4.513
_cell_length_c 6.381
_cell_angle_alpha 90.00
_cell_angle_beta 90.00
_cell_angle_gamma 90.00
_space_group_name_H-M_alt 'P 4/m m m'
_space_group_IT_number 123
_space_group_name_Hall '-P 4 2'
loop_
_atom_site_label
_atom_site_type_symbol
_atom_site_fract_x
_atom_site_fract_y
_atom_site_fract_z
La1 La 0.000 0.000 0.000
La2 La 0.500 0.500 0.500
Si1 Si 0.000 0.000 0.500
Sb1 Sb 0.500 0.500 0.000


12.
# GGA-PBE LaSi2Sb, relaxed
# - ΔE_f (raw) (eV per atom) = -0.099
data_LaSi2Sb
_cell_length_a 3.905
_cell_length_b 5.131
_cell_length_c 9.382
_cell_angle_alpha 90.00
_cell_angle_beta 90.00
_cell_angle_gamma 90.00
_space_group_name_H-M_alt 'I m m m'
_space_group_IT_number 71
_space_group_name_Hall '-I 2 2'
loop_
_atom_site_label
_atom_site_type_symbol
_atom_site_fract_x
_atom_site_fract_y
_atom_site_fract_z
La1 La 0.000 0.000 0.000
Si1 Si 0.000 0.500 0.232
Sb1 Sb 0.000 0.000 0.500